NdCoS2O8, relaxed, DFT PBE+U; uncorrected energy = -6.505 eV per atom; space-group type = No. 164
1.0
5.196 0.000 0.000
-2.598 4.500 0.000
0.000 0.000 6.960
Nd Co S O
1 1 2 8
direct
0.000 0.000 0.000 Nd
0.000 0.000 0.500 Co
0.333 0.667 0.212 S
0.667 0.333 0.788 S
0.176 0.352 0.277 O
0.176 0.824 0.277 O
0.333 0.667 0.996 O
0.352 0.176 0.723 O
0.648 0.824 0.277 O
0.667 0.333 0.004 O
0.824 0.176 0.723 O
0.824 0.648 0.723 O